The following is a DFT calculation (PBE) of crystalline SnOsCl2 at its relaxed geometry.

As for the energy relative to the elements, uncorrected: 0.37 eV per atom. The calculated volume is 340.4 Å³/cell. For the density of states at the Fermi level, the calculation gives 0.39 states/eV/atom. The energy above the most stable polymorph in this dataset comes out at 135 meV/atom.

It has space group R-3m (No. 166, hexagonal axes), with a = 3.5490 Å, b = 3.5490 Å, c = 31.2100 Å, α = 90.00°, β = 90.00° and γ = 120.00°. The inequivalent atoms are Sn at (0.0000, 0.0000, 0.0000), Os at (0.0000, 0.0000, 0.5000) and Cl at (0.0000, 0.0000, 0.1274).


The following is a DFT calculation (PBE) of crystalline CsCuN3 at its relaxed geometry.

As for the energy relative to the elements, uncorrected: 2.12 eV per atom. The calculated volume is 67.6 Å³/cell. For the density of states at the Fermi level, the calculation gives 1.60 states/eV/atom.

It has space group Pm-3m (No. 221), with a = 4.074 Å, b = 4.074 Å, c = 4.074 Å, α = 90.00°, β = 90.00° and γ = 90.00°. The inequivalent atoms are Cs at (0.000, 0.000, 0.000), Cu at (0.500, 0.500, 0.500) and N at (0.000, 0.500, 0.500).


The following is a DFT calculation (PBE) of crystalline CeSm3Tl4 at its relaxed geometry.

For the formation energy, the calculation gives -0.34 eV per atom. The calculated volume is 230.9 Å³/cell. For the density of states at the Fermi level, the calculation gives 1.52 states/eV/atom. The energy above the most stable polymorph in this dataset comes out at 0 meV/atom.

It has space group P4/mmm (No. 123), with a = 3.656 Å, b = 3.656 Å, c = 17.273 Å, α = 90.00°, β = 90.00° and γ = 90.00°. The inequivalent atoms are Ce at (0.000, 0.000, 0.000), Sm at (0.000, 0.000, 0.252), Sm at (0.000, 0.000, 0.500), Tl at (0.500, 0.500, 0.127) and Tl at (0.500, 0.500, 0.376).


The following is a DFT calculation (PBE) of crystalline CaSe2SBr at its relaxed geometry.

As for the energy relative to the elements, uncorrected: -0.45 eV per atom. The calculated volume is 127.1 Å³/cell. For the density of states at the Fermi level, the calculation gives 0.48 states/eV/atom. The energy above the most stable polymorph in this dataset comes out at 0 meV/atom.

It has space group P4/mmm (No. 123), with a = 4.928 Å, b = 4.928 Å, c = 5.236 Å, α = 90.00°, β = 90.00° and γ = 90.00°. The inequivalent atoms are Ca at (0.000, 0.000, 0.000), Se at (0.000, 0.500, 0.500), S at (0.500, 0.500, 0.500) and Br at (0.500, 0.500, 0.000).


The following is a DFT calculation (PBE) of crystalline LaSc3Nb at its relaxed geometry.

For the formation energy, the calculation gives 1.30 eV per atom. The calculated volume is 130.1 Å³/cell. For the density of states at the Fermi level, the calculation gives 1.30 states/eV/atom. The energy above the most stable polymorph in this dataset comes out at 924 meV/atom.

It has space group Pm-3m (No. 221), with a = 5.068 Å, b = 5.068 Å, c = 5.068 Å, α = 90.00°, β = 90.00° and γ = 90.00°. The inequivalent atoms are La at (0.000, 0.000, 0.000), Sc at (0.000, 0.000, 0.500) and Nb at (0.500, 0.500, 0.500).


The following is a DFT calculation (PBE) of crystalline YHo5In2 at its relaxed geometry.

For the formation energy, the calculation gives -0.27 eV per atom. The calculated volume is 450.3 Å³/cell. For the density of states at the Fermi level, the calculation gives 1.33 states/eV/atom. The energy above the most stable polymorph in this dataset comes out at 0 meV/atom.

It has space group Pbam (No. 55), with a = 6.840 Å, b = 13.677 Å, c = 4.813 Å, α = 90.00°, β = 90.00° and γ = 90.00°. The inequivalent atoms are Y at (0.000, 0.000, 0.000), Ho at (0.000, 0.500, 0.000), Ho at (0.003, 0.251, 0.000), Ho at (0.248, 0.626, 0.500) and In at (0.249, 0.875, 0.500).